## TaNi2Ag (PBE-GGA)

Data for a relaxed structure of TaNi2Ag.

Summary:
space group: Pmm2, No. 25
DFT formation energy: 108 meV/atom
magnetic moment: 0.00 μB/f.u.

```
TaNi2Ag
1.0
-2.310 -0.766 1.364
1.377 -3.578 0.324
2.309 1.310 4.649
Ag Ni Ta
1 2 1
direct
0.500 0.500 0.770
0.000 0.000 0.014
0.500 0.500 0.251
0.000 0.000 0.466
```